# 1
CaSbCl | PBE | optimized geometry

Output
size of the total moment	0.0	Bohr magnetons per cell
excess energy over the best structure of this formula in the dataset	0.386	eV per formula unit
symmetry	I4mm
VASP energy	-11.65	eV/cell
raw formation energy	-1227	meV per atom
crystal system	tetragonal

a b c (Å): 8.208 8.207 3.423
angles (deg): 77.97 77.95 24.07
Fractional coordinates of all 3 atoms:
Sb (0.366, 0.366, 0.634)
Ca (0.021, 0.021, 0.979)
Cl (0.613, 0.613, 0.387)

---

# 2
Ca4SbCl | PBE | optimized geometry

Output
size of the total moment	0.0	Bohr magnetons per cell
symmetry	F-43m
VASP energy	-15.06	eV/cell
raw formation energy	-180	meV per atom
crystal system	cubic

a b c (Å): 6.705 6.705 6.705
angles (deg): 60.00 60.00 60.00
Fractional coordinates of all 6 atoms:
Ca (0.880, 0.373, 0.373)
Ca (0.373, 0.373, 0.880)
Ca (0.373, 0.880, 0.373)
Ca (0.373, 0.373, 0.373)
Sb (0.000, 0.000, 0.000)
Cl (0.750, 0.750, 0.750)

---

# 3
CaSbCl2 | PBE | optimized geometry

Output
size of the total moment	0.0	Bohr magnetons per cell
excess energy over the best structure of this formula in the dataset	0.000	eV per formula unit
symmetry	R-3m
VASP energy	-15.24	eV/cell
raw formation energy	-1357	meV per atom
crystal system	trigonal

a b c (Å): 12.516 12.516 12.516
angles (deg): 17.06 17.06 17.06
Fractional coordinates of all 4 atoms:
Sb (0.000, 0.000, 0.000)
Ca (0.500, 0.500, 0.500)
Cl (0.877, 0.877, 0.877)
Cl (0.123, 0.123, 0.123)

---

# 4
CaSbCl2 | PBE | optimized geometry

Output
size of the total moment	0.0	Bohr magnetons per cell
excess energy over the best structure of this formula in the dataset	3.145	eV per formula unit
symmetry	R-3m
VASP energy	-12.10	eV/cell
raw formation energy	-570	meV per atom
crystal system	trigonal

a b c (Å): 10.210 10.210 10.210
angles (deg): 20.66 20.66 20.66
Fractional coordinates of all 4 atoms:
Sb (0.500, 0.500, 0.500)
Ca (0.000, 0.000, 0.000)
Cl (0.913, 0.913, 0.913)
Cl (0.087, 0.087, 0.087)

---

# 5
CaSbCl | PBE | optimized geometry

Output
size of the total moment	0.9	Bohr magnetons per cell
excess energy over the best structure of this formula in the dataset	2.661	eV per formula unit
symmetry	F-43m
VASP energy	-9.38	eV/cell
raw formation energy	-468	meV per atom
crystal system	cubic

a b c (Å): 5.058 5.058 5.058
angles (deg): 60.00 60.00 60.00
Fractional coordinates of all 3 atoms:
Sb (0.000, 0.000, 0.000)
Ca (0.500, 0.500, 0.500)
Cl (0.750, 0.750, 0.750)

---

# 6
Ca6SbCl8 | PBE | optimized geometry

Output
size of the total moment	0.0	Bohr magnetons per cell
symmetry	R-3
VASP energy	-60.88	eV/cell
raw formation energy	-1998	meV per atom
crystal system	trigonal

a b c (Å): 7.329 7.329 10.517
angles (deg): 69.61 69.61 60.00
Fractional coordinates of all 15 atoms:
Ca (0.935, 0.613, 0.191)
Ca (0.740, 0.065, 0.809)
Ca (0.387, 0.740, 0.809)
Ca (0.613, 0.260, 0.191)
Ca (0.260, 0.935, 0.191)
Ca (0.065, 0.387, 0.809)
Sb (0.000, 0.000, 0.000)
Cl (0.763, 0.456, 0.673)
Cl (0.892, 0.237, 0.327)
Cl (0.544, 0.892, 0.327)
Cl (0.334, 0.334, 0.999)
Cl (0.666, 0.666, 0.001)
Cl (0.456, 0.108, 0.673)
Cl (0.108, 0.763, 0.673)
Cl (0.237, 0.544, 0.327)

---

# 7
CaSbCl2 | PBE | optimized geometry

Output
size of the total moment	0.0	Bohr magnetons per cell
excess energy over the best structure of this formula in the dataset	2.399	eV per formula unit
symmetry	Fm-3m
VASP energy	-12.84	eV/cell
raw formation energy	-757	meV per atom
crystal system	cubic

a b c (Å): 5.224 5.224 5.224
angles (deg): 60.00 60.00 60.00
Fractional coordinates of all 4 atoms:
Sb (0.500, 0.500, 0.500)
Ca (0.000, 0.000, 0.000)
Cl (0.250, 0.250, 0.250)
Cl (0.750, 0.750, 0.750)

---

# 8
CaSbCl2 | PBE | optimized geometry

Output
size of the total moment	0.0	Bohr magnetons per cell
excess energy over the best structure of this formula in the dataset	1.003	eV per formula unit
symmetry	Pmmm
VASP energy	-14.24	eV/cell
raw formation energy	-1106	meV per atom
crystal system	orthorhombic

a b c (Å): 3.532 6.083 4.664
angles (deg): 90.00 90.00 90.00
Fractional coordinates of all 4 atoms:
Sb (0.500, 0.000, 0.500)
Ca (0.000, 0.500, 0.500)
Cl (0.000, 0.000, 0.000)
Cl (0.500, 0.500, 0.000)

---

# 9
CaSbCl | PBE | optimized geometry

Output
size of the total moment	1.1	Bohr magnetons per cell
excess energy over the best structure of this formula in the dataset	1.619	eV per formula unit
symmetry	P-6m2
VASP energy	-10.42	eV/cell
raw formation energy	-816	meV per atom
crystal system	hexagonal

a b c (Å): 4.974 4.974 3.873
angles (deg): 90.00 90.00 120.00
Fractional coordinates of all 3 atoms:
Sb (0.333, 0.667, 0.667)
Ca (0.000, 0.000, 0.167)
Cl (0.667, 0.333, 0.167)

---

# 10
CaSbCl2 | PBE | optimized geometry

Output
size of the total moment	0.0	Bohr magnetons per cell
excess energy over the best structure of this formula in the dataset	1.441	eV per formula unit
symmetry	I-4m2
VASP energy	-13.80	eV/cell
raw formation energy	-996	meV per atom
crystal system	tetragonal

a b c (Å): 6.790 6.790 6.790
angles (deg): 144.60 144.60 50.93
Fractional coordinates of all 4 atoms:
Sb (0.500, 0.500, 0.000)
Ca (0.750, 0.250, 0.500)
Cl (0.000, 0.000, 0.000)
Cl (0.250, 0.750, 0.500)

---

# 11
Ca2SbCl2 | PBE | optimized geometry

Output
size of the total moment	0.0	Bohr magnetons per cell
excess energy over the best structure of this formula in the dataset	0.507	eV per formula unit
symmetry	P4/mbm
VASP energy	-37.95	eV/cell
raw formation energy	-1431	meV per atom
crystal system	tetragonal

a b c (Å): 8.448 8.448 3.685
angles (deg): 90.00 90.00 90.00
Fractional coordinates of all 10 atoms:
Sb (0.000, 0.000, 0.000)
Sb (0.500, 0.500, 0.000)
Ca (0.329, 0.829, 0.000)
Ca (0.829, 0.671, 0.000)
Ca (0.671, 0.171, 0.000)
Ca (0.171, 0.329, 0.000)
Cl (0.127, 0.627, 0.500)
Cl (0.627, 0.873, 0.500)
Cl (0.873, 0.373, 0.500)
Cl (0.373, 0.127, 0.500)

---

# 12
CaSbCl2 | PBE | optimized geometry

Output
size of the total moment	0.0	Bohr magnetons per cell
excess energy over the best structure of this formula in the dataset	1.502	eV per formula unit
symmetry	I-42d
VASP energy	-27.48	eV/cell
raw formation energy	-981	meV per atom
crystal system	tetragonal

a b c (Å): 8.114 8.114 6.691
angles (deg): 52.68 52.68 90.00
Fractional coordinates of all 8 atoms:
Sb (0.000, 0.000, 0.000)
Sb (0.750, 0.250, 0.500)
Ca (0.500, 0.500, 0.000)
Ca (0.250, 0.750, 0.500)
Cl (0.577, 0.125, 0.250)
Cl (0.173, 0.625, 0.250)
Cl (0.375, 0.423, 0.750)
Cl (0.875, 0.827, 0.750)

---

# 13
Ca3Sb2Cl | PBE | optimized geometry

Output
size of the total moment	0.0	Bohr magnetons per cell
symmetry	C2/c
VASP energy	-94.16	eV/cell
raw formation energy	-1241	meV per atom
crystal system	monoclinic

a b c (Å): 6.454 8.469 15.154
angles (deg): 85.96 79.35 67.60
Fractional coordinates of all 24 atoms:
Ca (0.627, 0.745, 0.250)
Ca (0.373, 0.255, 0.750)
Ca (0.503, 0.392, 0.123)
Ca (0.105, 0.392, 0.377)
Ca (0.497, 0.608, 0.877)
Ca (0.895, 0.608, 0.623)
Ca (0.677, 0.163, 0.507)
Ca (0.160, 0.163, 0.993)
Ca (0.323, 0.837, 0.493)
Ca (0.840, 0.837, 0.007)
Ca (0.995, 0.009, 0.250)
Ca (0.005, 0.991, 0.750)
Sb (0.629, 0.394, 0.328)
Sb (0.978, 0.394, 0.172)
Sb (0.371, 0.606, 0.672)
Sb (0.022, 0.606, 0.828)
Sb (0.340, 0.784, 0.077)
Sb (0.876, 0.784, 0.423)
Sb (0.660, 0.216, 0.923)
Sb (0.124, 0.216, 0.577)
Cl (0.669, 0.029, 0.160)
Cl (0.302, 0.029, 0.340)
Cl (0.331, 0.971, 0.840)
Cl (0.698, 0.971, 0.660)

---

# 14
CaSiSb2Cl | PBE | optimized geometry

Output
size of the total moment	0.0	Bohr magnetons per cell
symmetry	P4/mmm
VASP energy	-18.14	eV/cell
raw formation energy	-125	meV per atom
crystal system	tetragonal

a b c (Å): 5.087 6.006 5.087
angles (deg): 90.00 90.00 90.00
Fractional coordinates of all 5 atoms:
Sb (0.000, 0.000, 0.500)
Sb (0.500, 0.000, 0.000)
Ca (0.000, 0.500, 0.000)
Si (0.000, 0.000, 0.000)
Cl (0.500, 0.500, 0.500)

---

# 15
SrCaSbCl2 | PBE | optimized geometry

Output
size of the total moment	0.9	Bohr magnetons per cell
symmetry	P4/mmm
VASP energy	-18.69	eV/cell
raw formation energy	-1439	meV per atom
crystal system	tetragonal

a b c (Å): 5.186 6.453 5.186
angles (deg): 90.00 90.00 90.00
Fractional coordinates of all 5 atoms:
Sb (0.000, 0.500, 0.000)
Ca (0.000, 0.000, 0.000)
Cl (0.000, 0.000, 0.500)
Cl (0.500, 0.000, 0.000)
Sr (0.500, 0.500, 0.500)

---

# 16
SrCaSbCl | PBE | optimized geometry

Output
size of the total moment	0.0	Bohr magnetons per cell
symmetry	F-43m
VASP energy	-15.27	eV/cell
raw formation energy	-1403	meV per atom
crystal system	cubic

a b c (Å): 5.505 5.505 5.505
angles (deg): 60.00 60.00 60.00
Fractional coordinates of all 4 atoms:
Sb (0.000, 0.000, 0.000)
Ca (0.750, 0.750, 0.750)
Cl (0.500, 0.500, 0.500)
Sr (0.250, 0.250, 0.250)

---

# 17
Ca4SbTe2Cl | PBE | optimized geometry

Output
size of the total moment	0.0	Bohr magnetons per cell
symmetry	Fmm2
VASP energy	-32.85	eV/cell
raw formation energy	-1574	meV per atom
crystal system	orthorhombic

a b c (Å): 6.287 6.287 7.791
angles (deg): 113.79 113.79 90.00
Fractional coordinates of all 8 atoms:
Ca (0.937, 0.437, 0.000)
Ca (0.437, 0.937, 0.000)
Ca (0.178, 0.178, 0.482)
Ca (0.697, 0.697, 0.518)
Sb (0.937, 0.937, 0.000)
Te (0.188, 0.688, 0.500)
Te (0.688, 0.188, 0.500)
Cl (0.437, 0.437, 0.000)

---

# 18
CaSb2TeCl | PBE | optimized geometry

Output
size of the total moment	0.0	Bohr magnetons per cell
excess energy over the best structure of this formula in the dataset	0.000	eV per formula unit
symmetry	P4/mmm
VASP energy	-14.84	eV/cell
raw formation energy	80	meV per atom
crystal system	tetragonal

a b c (Å): 5.290 5.290 5.693
angles (deg): 90.00 90.00 90.00
Fractional coordinates of all 5 atoms:
Sb (0.000, 0.500, 0.000)
Sb (0.500, 0.000, 0.000)
Ca (0.500, 0.500, 0.500)
Te (0.000, 0.000, 0.500)
Cl (0.000, 0.000, 0.000)

---

# 19
CaSb2TeCl | PBE | optimized geometry

Output
size of the total moment	0.0	Bohr magnetons per cell
excess energy over the best structure of this formula in the dataset	1.410	eV per formula unit
symmetry	P4/mmm
VASP energy	-13.43	eV/cell
raw formation energy	362	meV per atom
crystal system	tetragonal

a b c (Å): 5.839 5.839 5.634
angles (deg): 90.00 90.00 90.00
Fractional coordinates of all 5 atoms:
Sb (0.000, 0.500, 0.000)
Sb (0.500, 0.000, 0.000)
Ca (0.000, 0.000, 0.000)
Te (0.000, 0.000, 0.500)
Cl (0.500, 0.500, 0.500)

---

# 20
Ca2TlSbCl8 | PBE | optimized geometry

Output
size of the total moment	0.0	Bohr magnetons per cell
symmetry	P2/m
VASP energy	-44.61	eV/cell
raw formation energy	-1612	meV per atom
crystal system	monoclinic

a b c (Å): 6.677 6.428 8.709
angles (deg): 89.99 90.00 89.76
Fractional coordinates of all 12 atoms:
Ca (0.500, 0.500, 0.747)
Ca (0.500, 0.500, 0.253)
Tl (0.000, 0.000, 0.500)
Sb (0.000, 0.000, 0.000)
Cl (0.169, 0.759, 0.212)
Cl (0.674, 0.736, 0.000)
Cl (0.830, 0.241, 0.212)
Cl (0.831, 0.241, 0.788)
Cl (0.326, 0.264, 0.000)
Cl (0.170, 0.759, 0.788)
Cl (0.629, 0.721, 0.500)
Cl (0.371, 0.279, 0.500)

---

# 21
Ca2ScCl | PBE | optimized geometry

Output
size of the total moment	0.8	Bohr magnetons per cell
excess energy over the best structure of this formula in the dataset	0.905	eV per formula unit
symmetry	Imm2
VASP energy	-14.07	eV/cell
raw formation energy	-472	meV per atom
crystal system	orthorhombic

a b c (Å): 6.615 6.615 6.615
angles (deg): 149.57 124.26 64.84
Fractional coordinates of all 4 atoms:
Sc (0.296, 0.796, 0.500)
Ca (0.014, 0.014, 0.000)
Ca (0.704, 0.204, 0.500)
Cl (0.486, 0.486, 0.000)

---

# 22
Ca2ScCl | PBE | optimized geometry

Output
size of the total moment	0.0	Bohr magnetons per cell
excess energy over the best structure of this formula in the dataset	0.159	eV per formula unit
symmetry	Cmmm
VASP energy	-14.82	eV/cell
raw formation energy	-659	meV per atom
crystal system	orthorhombic

a b c (Å): 3.577 3.577 9.790
angles (deg): 90.00 90.00 112.97
Fractional coordinates of all 4 atoms:
Sc (0.500, 0.500, 0.750)
Ca (0.000, 0.000, 0.025)
Ca (0.000, 0.000, 0.475)
Cl (0.500, 0.500, 0.250)

---

# 23
CaScCl5 | PBE | optimized geometry

Output
size of the total moment	0.0	Bohr magnetons per cell
symmetry	C2/c
VASP energy	-65.65	eV/cell
raw formation energy	-2180	meV per atom
crystal system	monoclinic

a b c (Å): 7.008 7.626 9.091
angles (deg): 84.65 78.28 62.65
Fractional coordinates of all 14 atoms:
Ca (0.539, 0.922, 0.750)
Ca (0.461, 0.078, 0.250)
Sc (0.000, 0.000, 0.000)
Sc (0.000, 0.000, 0.500)
Cl (0.326, 0.713, 0.878)
Cl (0.590, 0.172, 0.513)
Cl (0.039, 0.287, 0.378)
Cl (0.919, 0.163, 0.750)
Cl (0.238, 0.172, 0.987)
Cl (0.762, 0.828, 0.013)
Cl (0.081, 0.837, 0.250)
Cl (0.961, 0.713, 0.622)
Cl (0.410, 0.828, 0.487)
Cl (0.674, 0.287, 0.122)

---

# 24
Ca2ScCl | PBE | optimized geometry

Output
size of the total moment	4.0	Bohr magnetons per cell
excess energy over the best structure of this formula in the dataset	1.466	eV per formula unit
symmetry	I-42d
VASP energy	-27.02	eV/cell
raw formation energy	-332	meV per atom
crystal system	tetragonal

a b c (Å): 8.633 8.633 7.032
angles (deg): 52.13 52.13 90.00
Fractional coordinates of all 8 atoms:
Sc (0.000, 0.000, 0.000)
Sc (0.750, 0.250, 0.500)
Ca (0.551, 0.125, 0.250)
Ca (0.199, 0.625, 0.250)
Ca (0.375, 0.449, 0.750)
Ca (0.875, 0.801, 0.750)
Cl (0.500, 0.500, 0.000)
Cl (0.250, 0.750, 0.500)

---

# 25
Ca2ScCl | PBE | optimized geometry

Output
size of the total moment	1.1	Bohr magnetons per cell
excess energy over the best structure of this formula in the dataset	0.000	eV per formula unit
symmetry	R-3m
VASP energy	-14.98	eV/cell
raw formation energy	-699	meV per atom
crystal system	trigonal

a b c (Å): 9.990 9.990 9.990
angles (deg): 21.34 21.34 21.34
Fractional coordinates of all 4 atoms:
Sc (0.750, 0.750, 0.750)
Ca (0.990, 0.990, 0.990)
Ca (0.510, 0.510, 0.510)
Cl (0.250, 0.250, 0.250)

---

# 26
CaScCl2 | PBE | optimized geometry

Output
size of the total moment	0.5	Bohr magnetons per cell
excess energy over the best structure of this formula in the dataset	0.960	eV per formula unit
symmetry	Pmmm
VASP energy	-16.68	eV/cell
raw formation energy	-1163	meV per atom
crystal system	orthorhombic

a b c (Å): 3.424 6.720 4.354
angles (deg): 90.00 90.00 90.00
Fractional coordinates of all 4 atoms:
Sc (0.500, 0.000, 0.500)
Ca (0.000, 0.500, 0.500)
Cl (0.000, 0.000, 0.000)
Cl (0.500, 0.500, 0.000)